Density functional theory data (GGA-PBE) for an optimized crystal structure of Sr2OsW.

As for the volume: 86.7 Å³/f.u. The total DFT energy (no corrections) is -45.30 eV/cell.

The structure belongs to space group I4/mmm (No. 139); the cell edges are 4.0376, 4.0376 and 10.6375 Å and the angles 90.00°, 90.00° and 90.00°. Symmetry generates all atoms from Sr at (0.0000, 0.5000, 0.2500), Os at (0.0000, 0.0000, 0.0000) and W at (0.0000, 0.0000, 0.5000).